Entry 1:
An optimized crystal structure of TiNb3Bi, computed with PBE-GGA.

Cell lengths 4.788, 4.788, 4.788 Å; angles 90.00, 90.00, 90.00 degrees
Space group Pm-3m (No. 221)
Unique sites:
Ti1 0.000 0.000 0.000
Nb1 0.000 0.000 0.500
Bi1 0.500 0.500 0.500

Properties
size of the total moment: 0.00 μB/atom
excess energy over the best structure of this formula in the dataset: 0.00 eV/f.u.
final energy: -7.396 eV/atom
ΔE_f: 1.001 eV/atom



Entry 2:
An optimized crystal structure of Ti2Nb2Bi, computed with PBE-GGA.

Cell lengths 5.187, 5.187, 18.695 Å; angles 90.00, 90.00, 90.00 degrees
Space group I4_1md (No. 109)
Unique sites:
Ti1 0.000 0.242 0.000
Nb1 0.000 0.262 0.137
Bi1 0.000 0.000 0.309

Properties
size of the total moment: 0.00 μB/atom
excess energy over the best structure of this formula in the dataset: 3.77 eV/f.u.
final energy: -6.999 eV/atom
ΔE_f: 0.963 eV/atom



Entry 3:
An optimized crystal structure of Ti2Nb2Bi, computed with PBE-GGA.

Cell lengths 7.288, 7.288, 3.637 Å; angles 90.00, 90.00, 90.00 degrees
Space group P4/mbm (No. 127)
Unique sites:
Ti1 0.123 0.377 0.000
Nb1 0.177 0.677 0.500
Bi1 0.000 0.000 0.000

Properties
size of the total moment: 0.00 μB/atom
excess energy over the best structure of this formula in the dataset: 0.00 eV/f.u.
final energy: -7.754 eV/atom
ΔE_f: 0.208 eV/atom



Number 1: calculated density 8.1 Mg/m³. Number 2: calculated density 6.5 Mg/m³. Number 3: calculated density 8.4 Mg/m³.